No. 1
Below is a relaxed Zr7Hg2N2 crystal, with properties calculated at the PBE level.

abc: 6.251 6.101 6.251
angles: 84.33 112.69 95.67
Atoms (fractional coordinates):
1 Zr 0.438 0.189 0.562
2 Zr 0.057 0.774 0.496
3 Zr 0.000 0.000 0.000
4 Zr 0.562 0.811 0.438
5 Zr 0.504 0.774 0.943
6 N 0.225 0.023 0.775
7 N 0.775 0.977 0.225
8 Zr 0.943 0.226 0.504
9 Hg 0.807 0.500 0.807
10 Zr 0.496 0.226 0.057
11 Hg 0.193 0.500 0.193

Properties
Its density of states at the Fermi level is 7.57 states/eV/f.u. For the uncorrected formation energy, the calculation gives -0.495 eV/atom. The space group is No. 12. The volume comes out at 218.4 Å³/cell.

No. 2
Below is a relaxed Ba2ZrP crystal, with properties calculated at the PBE level.

abc: 4.829 4.829 4.974
angles: 90.00 90.00 90.00
Atoms (fractional coordinates):
1 Ba 0.000 0.500 0.000
2 Ba 0.500 0.000 0.000
3 P 0.500 0.500 0.500
4 Zr 0.000 0.000 0.500

Properties
Its density of states at the Fermi level is 5.81 states/eV/f.u. The space group is No. 123. The volume comes out at 116.0 Å³/cell. The formation enthalpy at 0 K is 0.193 eV per atom.

No. 3
Below is a relaxed Ho3AlTe2 crystal, with properties calculated at the PBE level.

abc: 4.155 6.100 7.656
angles: 113.48 105.75 90.00
Atoms (fractional coordinates):
1 Ho 0.658 0.658 0.315
2 Te 0.671 0.171 0.343
3 Al 0.000 0.500 0.000
4 Ho 0.000 0.000 0.000
5 Te 0.329 0.829 0.657
6 Ho 0.342 0.342 0.685

Properties
Its density of states at the Fermi level is 1.26 states/eV/f.u. For the uncorrected formation energy, the calculation gives -0.953 eV/atom. The space group is No. 71. The volume comes out at 170.0 Å³/cell.

No. 4
Below is a relaxed Mg4SnRh crystal, with properties calculated at the PBE level.

abc: 5.569 7.449 7.449
angles: 113.84 101.12 101.12
Atoms (fractional coordinates):
1 Mg 0.555 0.278 0.940
2 Mg 0.445 0.722 0.060
3 Rh 0.250 0.996 0.004
4 Sn 0.750 0.630 0.370
5 Mg 0.945 0.060 0.722
6 Mg 0.644 0.205 0.353
7 Rh 0.750 0.004 0.996
8 Mg 0.856 0.647 0.795
9 Mg 0.144 0.353 0.205
10 Sn 0.250 0.370 0.630
11 Mg 0.356 0.795 0.647
12 Mg 0.055 0.940 0.278

Properties
Its density of states at the Fermi level is 2.71 states/eV/f.u. The space group is No. 15. The volume comes out at 264.5 Å³/cell. The formation enthalpy at 0 K is -0.260 eV per atom.

No. 5
Below is a relaxed KInCo crystal, with properties calculated at the PBE level.

abc: 4.452 4.452 5.252
angles: 90.00 90.00 120.00
Last column: magnetic moment on the atom in μB.
Atoms (fractional coordinates):
1 Co 0.000 0.000 0.167  1.33
2 K 0.333 0.667 0.667  -0.01
3 In 0.667 0.333 0.166  -0.09

Properties
Its density of states at the Fermi level is 3.85 states/eV/f.u. The space group is No. 187. The volume comes out at 90.2 Å³/cell. The formation enthalpy at 0 K is 0.540 eV per atom. As for the excess energy over the best structure of this formula in the dataset: 0.162 eV/atom.

No. 6
Below is a relaxed Ca2UAlO6 crystal, with properties calculated at the PBE level.

abc: 4.537 5.501 5.501
angles: 90.00 90.00 90.00
Last column: magnetic moment on the atom in μB.
Atoms (fractional coordinates):
1 Al 0.596 0.000 0.000  0.00
2 U 0.628 0.500 0.500  1.04
3 Ca 0.039 0.000 0.500  0.01
4 O 0.204 0.000 0.000  0.00
5 O 0.699 0.236 0.236  -0.02
6 O 0.699 0.764 0.236  -0.02
7 O 0.699 0.764 0.764  -0.02
8 O 0.142 0.500 0.500  -0.02
9 Ca 0.039 0.500 0.000  0.01
10 O 0.699 0.236 0.764  -0.02

Properties
For the uncorrected formation energy, the calculation gives -2.974 eV/atom. The space group is No. 99. The volume comes out at 137.3 Å³/cell.